1.
VASP calculation (PBE) on a relaxed structure of K2MgFeH6.

a = 7.577 Å, b = 7.577 Å, c = 7.577 Å
α = 90.00°, β = 90.00°, γ = 90.00°
Space group Fm-3m (No. 225)
Unique sites:
K (0.250, 0.250, 0.250) x8
Mg (0.000, 0.000, 0.000) x4
Fe (0.000, 0.000, 0.500) x4
H (0.000, 0.000, 0.275) x24

The magnetization is 0.2 μB per formula unit. The value obtained for the total energy is -3.317 eV per atom.

---

2.
VASP calculation (PBE) on a relaxed structure of MnHg4Rh.

a = 7.949 Å, b = 7.949 Å, c = 7.949 Å
α = 90.00°, β = 90.00°, γ = 90.00°
Space group F-43m (No. 216)
Unique sites:
Mn (0.000, 0.000, 0.000) x4
Hg (0.125, 0.125, 0.375) x16
Rh (0.250, 0.250, 0.750) x4

The magnetization is 4.4 μB per formula unit. The formation energy from the elements is 0.5732 eV per atom.

---

3.
VASP calculation (PBE) on a relaxed structure of BTeIrI2.

a = 4.803 Å, b = 4.803 Å, c = 4.910 Å
α = 90.00°, β = 90.00°, γ = 90.00°
Space group P4/mmm (No. 123)
Unique sites:
B (0.000, 0.000, 0.000) x1
Te (0.000, 0.000, 0.500) x1
Ir (0.500, 0.500, 0.500) x1
I (0.000, 0.500, 0.000) x2

The magnetization is 0.9 μB per formula unit. The value obtained for the formation energy from raw total energies is 1.50 eV per atom. The energy above the most stable polymorph in this dataset is 217 meV per atom.

---

4.
VASP calculation (PBE) on a relaxed structure of RbNa2Te.

a = 5.0676 Å, b = 5.0676 Å, c = 25.9515 Å
α = 90.00°, β = 90.00°, γ = 120.00°
Space group R-3m (No. 166, hexagonal axes)
Unique sites:
Rb (0.0000, 0.0000, 0.0000) x3
Na (0.0000, 0.0000, 0.2063) x6
Te (0.0000, 0.0000, 0.5000) x3

The magnetization is 0.0 μB per formula unit. The value obtained for the formation energy from raw total energies is -0.56 eV per atom.

---

5.
VASP calculation (PBE) on a relaxed structure of Ba2CoCl6.

a = 9.243 Å, b = 8.183 Å, c = 15.892 Å
α = 90.00°, β = 125.55°, γ = 90.00°
Space group P2_1/c (No. 14)
Unique sites:
Ba (0.027, 0.219, 0.404) x4
Ba (0.434, 0.110, 0.294) x4
Co (0.300, 0.643, 0.433) x4
Cl (0.004, 0.080, 0.203) x4
Cl (0.214, 0.101, 0.633) x4
Cl (0.250, 0.572, 0.570) x4
Cl (0.288, 0.579, 0.962) x4
Cl (0.358, 0.734, 0.303) x4
Cl (0.372, 0.145, 0.927) x4

The magnetization is 3.0 μB per formula unit. The value obtained for the formation energy from raw total energies is -1.85 eV per atom. The energy above the most stable polymorph in this dataset is 18 meV per atom.

---

6.
VASP calculation (PBE) on a relaxed structure of LaScIr2.

a = 10.410 Å, b = 3.084 Å, c = 5.058 Å
α = 90.00°, β = 99.27°, γ = 90.00°
Space group Cm (No. 8)
Unique sites:
La (0.000, 0.000, 0.000) x2
Sc (0.205, 0.000, 0.614) x2
Ir (0.256, 0.500, 0.175) x2
Ir (0.459, 0.000, 0.490) x2

The magnetization is 0.0 μB per formula unit. The energy above the most stable polymorph in this dataset is 243 meV per atom. The formation energy from the elements is -0.4835 eV per atom.

---

7.
VASP calculation (PBE) on a relaxed structure of TeH2Os.

a = 3.889 Å, b = 3.889 Å, c = 12.863 Å
α = 90.00°, β = 90.00°, γ = 90.00°
Space group I4_1/amd (No. 141, origin choice 2)
Unique sites:
Te (0.000, 0.250, 0.375) x4
H (0.000, 0.000, 0.000) x8
Os (0.000, 0.250, 0.875) x4

The magnetization is 0.0 μB per formula unit. The energy above the most stable polymorph in this dataset is 0 meV per atom.

---

8.
VASP calculation (PBE) on a relaxed structure of La4NdIn.

a = 6.288 Å, b = 7.153 Å, c = 8.884 Å
α = 90.00°, β = 91.10°, γ = 90.00°
Space group P2_1/m (No. 11)
Unique sites:
La (0.024, 0.250, 0.011) x2
La (0.160, 0.508, 0.657) x4
La (0.339, 0.750, 0.326) x2
Nd (0.500, 0.000, 0.000) x2
In (0.343, 0.250, 0.340) x2

The magnetization is 0.0 μB per formula unit. The energy above the most stable polymorph in this dataset is 0 meV per atom. The formation energy from the elements is -0.1706 eV per atom.

---

9.
VASP calculation (PBE) on a relaxed structure of ErTm2Th2.

a = 14.465 Å, b = 7.063 Å, c = 6.148 Å
α = 90.00°, β = 98.26°, γ = 90.00°
Space group P2_1/c (No. 14)
Unique sites:
Er (0.198, 0.127, 0.150) x4
Tm (0.197, 0.623, 0.148) x4
Tm (0.401, 0.625, 0.550) x4
Th (0.000, 0.124, 0.751) x4
Th (0.401, 0.129, 0.550) x4

The magnetization is 0.0 μB per formula unit. The energy above the most stable polymorph in this dataset is 0 meV per atom. The formation energy from the elements is 0.0267 eV per atom.

---

10.
VASP calculation (PBE) on a relaxed structure of Te2MoHN.

a = 5.149 Å, b = 5.149 Å, c = 2.889 Å
α = 90.00°, β = 90.00°, γ = 90.00°
Space group P4/mmm (No. 123)
Unique sites:
Te (0.000, 0.500, 0.000) x2
Mo (0.000, 0.000, 0.500) x1
H (0.500, 0.500, 0.000) x1
N (0.500, 0.500, 0.500) x1

The magnetization is 1.3 μB per formula unit. The energy above the most stable polymorph in this dataset is 459 meV per atom.

---

11.
VASP calculation (PBE) on a relaxed structure of Na2Cd8Pb.

a = 8.090 Å, b = 16.048 Å, c = 5.522 Å
α = 90.00°, β = 129.26°, γ = 90.00°
Space group C2/m (No. 12)
Unique sites:
Na (0.000, 0.183, 0.000) x4
Cd (0.000, 0.297, 0.500) x4
Cd (0.024, 0.000, 0.775) x4
Cd (0.232, 0.364, 0.255) x8
Pb (0.000, 0.500, 0.500) x2

The magnetization is 0.0 μB per formula unit. The formation energy from the elements is -0.0194 eV per atom.

---

12.
VASP calculation (PBE) on a relaxed structure of Ti4GaPd.

a = 10.140 Å, b = 13.793 Å, c = 2.772 Å
α = 90.00°, β = 90.00°, γ = 90.00°
Space group Pbam (No. 55)
Unique sites:
Ti (0.055, 0.244, 0.000) x4
Ti (0.083, 0.577, 0.000) x4
Ti (0.088, 0.932, 0.000) x4
Ti (0.198, 0.758, 0.000) x4
Ga (0.165, 0.407, 0.500) x4
Pd (0.176, 0.090, 0.500) x4

The magnetization is 0.4 μB per formula unit. The energy above the most stable polymorph in this dataset is 0 meV per atom. The formation energy from the elements is -0.2156 eV per atom.

---

Q: magnetization of number 10 (Te2MoHN)?
A: 1.3 μB per formula unit